# KNa2AsF6

A geometry-optimized KNa2AsF6 structure (PBE, Alexandria).

a = 6.0187 Å, b = 6.0179 Å, c = 6.1733 Å
α = 60.80°, β = 60.79°, γ = 59.97°
With the nearest neighbours (Å) after each atom.
Fractional positions:
F  0.9325  0.6018  0.2183  1 As 2.21, 2 Na 2.25-2.34
F  0.6671  0.1706  0.7894  1 As 1.96
F  0.2476  0.9325  0.2180  1 As 2.22, 2 Na 2.25-2.34
F  0.1707  0.3730  0.7896  1 As 1.96
As  0.3209  0.3208  0.0375  3 F 1.96
F  0.3728  0.6669  0.7894  1 As 1.96
K  0.8011  0.8012  0.5964  6 F 2.62-2.74
Na  0.5350  0.5350  0.3950  6 F 2.25-2.51
Na  0.0121  0.0122  0.9636  6 F 2.34-2.36
F  0.6018  0.2478  0.2180  1 As 2.22, 2 Na 2.25-2.34

Properties
The value obtained for the energy above the most stable polymorph in this dataset is 0.000 eV per atom. The value obtained for the raw formation energy is -2.52 eV per atom. The space group is R3, No. 146.


# ZrSc5Cd

A geometry-optimized ZrSc5Cd structure (PBE, Alexandria).

a = 6.1869 Å, b = 6.1869 Å, c = 12.7721 Å
α = 59.10°, β = 59.10°, γ = 58.20°
With the nearest neighbours (Å) after each atom.
Fractional positions:
Sc  0.2043  0.7957  0.2500  1 Cd 2.64
Cd  0.7651  0.2349  0.2500  5 Sc 2.64-2.91
Cd  0.2349  0.7651  0.7500  5 Sc 2.64-2.91
Sc  0.3037  0.3060  0.9835  1 Cd 2.91, 4 Sc 2.97-3.18, 1 Zr 3.18
Sc  0.6963  0.6940  0.0165  1 Cd 2.91, 4 Sc 2.97-3.18, 1 Zr 3.18
Zr  0.0000  0.0000  0.5000  6 Sc 3.15-3.42, 2 Cd 3.49
Sc  0.7185  0.6761  0.2833  1 Cd 2.82, 4 Sc 2.97-3.15, 1 Zr 3.15
Sc  0.2815  0.3239  0.7167  1 Cd 2.82, 4 Sc 2.97-3.15, 1 Zr 3.15
Zr  0.0000  0.0000  0.0000  6 Sc 3.15-3.42, 2 Cd 3.49
Sc  0.7957  0.2043  0.7500  1 Cd 2.64
Sc  0.6761  0.7185  0.7833  1 Cd 2.82, 4 Sc 2.97-3.15, 1 Zr 3.15
Sc  0.3060  0.3037  0.4835  1 Cd 2.91, 4 Sc 2.97-3.18, 1 Zr 3.18
Sc  0.3239  0.2815  0.2167  1 Cd 2.82, 4 Sc 2.97-3.15, 1 Zr 3.15
Sc  0.6940  0.6963  0.5165  1 Cd 2.91, 4 Sc 2.97-3.18, 1 Zr 3.18

Properties
The calculation puts the formation enthalpy at 0 K at 0.11 eV/atom. The space group is C2/c, No. 15.


# Sc3ReC3

A geometry-optimized Sc3ReC3 structure (PBE, Alexandria).

a = 4.7655 Å, b = 6.4161 Å, c = 6.4161 Å
α = 98.12°, β = 90.00°, γ = 90.00°
With the nearest neighbours (Å) after each atom.
Fractional positions:
Sc  0.7500  0.3969  0.1594  5 C 2.33-2.56
Sc  0.2500  0.6031  0.8406  5 C 2.33-2.56
C  0.7500  0.1230  0.8771  1 Re 1.91
C  0.2500  0.8435  0.6009  1 Re 1.95
Sc  0.2500  0.1594  0.3969  5 C 2.33-2.56
Sc  0.7500  0.8406  0.6031  5 C 2.33-2.56
C  0.2500  0.8770  0.1229  1 Re 1.91
C  0.7500  0.1565  0.3991  1 Re 1.95
Sc  0.7500  0.8911  0.1089  5 C 2.25-2.39
Re  0.2500  0.6805  0.3195  3 C 1.91-1.95
Sc  0.2500  0.1089  0.8911  5 C 2.25-2.39
C  0.7500  0.6009  0.8435  1 Re 1.95
C  0.2500  0.3991  0.1565  1 Re 1.95
Re  0.7500  0.3195  0.6805  3 C 1.91-1.95

Properties
The calculation puts the formation enthalpy at 0 K at -0.47 eV/atom. The space group is Cmcm, No. 63.


# Na2UAg3S6

A geometry-optimized Na2UAg3S6 structure (PBE, Alexandria).

a = 7.2264 Å, b = 7.2264 Å, c = 6.2516 Å
α = 100.44°, β = 100.44°, γ = 122.32°
With the nearest neighbours (Å) after each atom.
Fractional positions:
Ag  0.8639  0.1361  0.5000  4 S 2.54-2.67
S  0.7440  0.7440  0.2007  1 U 2.54, 2 Ag 2.67, 2 Na 2.83
S  0.9157  0.6213  0.7309  2 Ag 2.54-2.65, 1 U 2.62
S  0.2560  0.2560  0.7993  1 U 2.54, 2 Ag 2.67, 2 Na 2.83
Ag  0.1361  0.8639  0.5000  4 S 2.54-2.67
S  0.6213  0.9157  0.7309  2 Ag 2.54-2.65, 1 U 2.62
Na  0.6791  0.3209  0.0000  6 S 2.83-2.98
U  0.0000  0.0000  0.0000  6 S 2.54-2.62
Na  0.3209  0.6791  0.0000  6 S 2.83-2.98
Ag  0.5000  0.5000  0.5000  6 S 2.65-2.96
S  0.0843  0.3787  0.2691  2 Ag 2.54-2.65, 1 U 2.62
S  0.3787  0.0843  0.2691  2 Ag 2.54-2.65, 1 U 2.62

Properties
The value obtained for the raw formation energy is -0.70 eV per atom. The space group is C2/m, No. 12.


# Be2AgHg

A geometry-optimized Be2AgHg structure (PBE, Alexandria).

a = 4.9118 Å, b = 4.9118 Å, c = 4.9118 Å
α = 135.67°, β = 135.67°, γ = 64.49°
With the nearest neighbours (Å) after each atom.
Fractional positions:
Be  0.0000  0.0000  0.0000  4 Hg 2.62, 4 Ag 2.78, 4 Be 2.78
Hg  0.5000  0.5000  0.0000  8 Be 2.62-2.78, 4 Ag 2.78
Ag  0.7500  0.2500  0.5000  8 Be 2.62-2.78, 4 Hg 2.78
Be  0.2500  0.7500  0.5000  4 Ag 2.62, 4 Hg 2.78, 4 Be 2.78

Properties
The calculation puts the formation enthalpy at 0 K at 0.42 eV/atom. The space group is I-4m2, No. 119.


# Nd4BSeBr2

A geometry-optimized Nd4BSeBr2 structure (PBE, Alexandria).

a = 4.0820 Å, b = 7.3102 Å, c = 7.6499 Å
α = 107.87°, β = 90.00°, γ = 90.00°
With the nearest neighbours (Å) after each atom.
Fractional positions:
B  0.0000  0.0000  0.0000  6 Nd 2.63-2.70
Se  0.5000  0.5000  0.0000  6 Nd 2.92-2.98
Br  0.0000  0.5000  0.5000  6 Nd 3.34-3.42
Nd  0.0000  0.2324  0.7965  1 B 2.63, 2 Se 2.92
Nd  0.5000  0.7944  0.8041  2 B 2.70, 1 Se 2.98
Nd  0.0000  0.7676  0.2035  1 B 2.63, 2 Se 2.92
Nd  0.5000  0.2056  0.1959  2 B 2.70, 1 Se 2.98
Br  0.5000  0.0000  0.5000  6 Nd 3.13-3.14

Properties
The value obtained for the raw formation energy is -1.19 eV per atom. The space group is P2/m, No. 10.


# CsPmRe2O8

A geometry-optimized CsPmRe2O8 structure (PBE, Alexandria).

a = 6.1559 Å, b = 6.1559 Å, c = 8.5042 Å
α = 90.00°, β = 90.00°, γ = 120.00°
With the nearest neighbours (Å) after each atom.
Fractional positions:
O  0.8267  0.6522  0.3332  1 Re 1.81
Re  0.3333  0.6667  0.7397  4 O 1.77-1.81
O  0.6667  0.3333  0.0526  1 Re 1.77
Re  0.6667  0.3333  0.2603  4 O 1.77-1.81
O  0.8254  0.1733  0.3332  1 Re 1.81
O  0.1733  0.3478  0.6668  1 Re 1.81
Pm  0.0000  0.0000  0.5000  6 O 2.33
O  0.3333  0.6667  0.9474  1 Re 1.77
O  0.3478  0.1746  0.3332  1 Re 1.81
Cs  0.0000  0.0000  0.0000  12 O 3.39-3.58
O  0.6522  0.8254  0.6668  1 Re 1.81
O  0.1746  0.8267  0.6668  1 Re 1.81

Properties
The value obtained for the raw formation energy is -2.00 eV per atom. The space group is P-3m1, No. 164.


# LaTl3

A geometry-optimized LaTl3 structure (PBE, Alexandria).

a = 4.8910 Å, b = 4.8913 Å, c = 4.8899 Å
α = 90.00°, β = 90.00°, γ = 90.00°
With the nearest neighbours (Å) after each atom.
Fractional positions:
La  0.5000  0.0000  0.5835  12 Tl 3.46
Tl  0.0000  0.5000  0.5831  8 Tl 3.46, 4 La 3.46
Tl  0.0000  0.0000  0.0834  8 Tl 3.46, 4 La 3.46
Tl  0.5000  0.5000  0.0833  8 Tl 3.46, 4 La 3.46

Properties
The calculation puts the formation enthalpy at 0 K at -0.36 eV/atom. The space group is Pm-3m, No. 221.


# AlInPd3

A geometry-optimized AlInPd3 structure (PBE, Alexandria).

a = 4.5794 Å, b = 4.5794 Å, c = 4.5794 Å
α = 90.00°, β = 90.00°, γ = 90.00°
With the nearest neighbours (Å) after each atom.
Fractional positions:
Al  0.0000  0.0000  0.0000  6 Pd 2.29
Pd  0.0000  0.5000  0.0000  2 Al 2.29
Pd  0.0000  0.0000  0.5000  2 Al 2.29
In  0.5000  0.5000  0.5000  12 Pd 3.24
Pd  0.5000  0.0000  0.0000  2 Al 2.29

Properties
The value obtained for the energy above the most stable polymorph in this dataset is 0.500 eV per atom. The calculation puts the formation enthalpy at 0 K at -0.10 eV/atom. The space group is Pm-3m, No. 221.


# Er2Ti2GaRh5

A geometry-optimized Er2Ti2GaRh5 structure (PBE, Alexandria).

a = 3.1518 Å, b = 10.4319 Å, c = 10.4319 Å
α = 90.00°, β = 90.00°, γ = 90.00°
With the nearest neighbours (Å) after each atom.
Fractional positions:
Ti  0.0000  0.6335  0.8665  6 Rh 2.52-2.53
Er  0.0000  0.3272  0.8272  1 Ti 2.86, 6 Rh 3.00-3.12, 2 Er 3.15
Ga  0.0000  0.5000  0.5000  8 Rh 2.64
Ga  0.0000  0.0000  0.0000  8 Rh 2.64
Er  0.0000  0.8272  0.6728  1 Ti 2.86, 6 Rh 3.00-3.12, 2 Er 3.15
Rh  0.5000  0.5000  0.0000  4 Ti 2.52
Ti  0.0000  0.3665  0.1335  6 Rh 2.52-2.53
Rh  0.5000  0.1967  0.0502  2 Ti 2.53, 2 Ga 2.64
Er  0.0000  0.6728  0.1728  1 Ti 2.86, 6 Rh 3.00-3.12, 2 Er 3.15
Rh  0.5000  0.0000  0.5000  4 Ti 2.52
Rh  0.5000  0.4498  0.3033  2 Ti 2.53, 2 Ga 2.64
Rh  0.5000  0.8033  0.9498  2 Ti 2.53, 2 Ga 2.64
Rh  0.5000  0.6967  0.4498  2 Ti 2.53, 2 Ga 2.64
Ti  0.0000  0.1335  0.6335  6 Rh 2.52-2.53
Rh  0.5000  0.3033  0.5502  2 Ti 2.53, 2 Ga 2.64
Rh  0.5000  0.9498  0.1967  2 Ti 2.53, 2 Ga 2.64
Er  0.0000  0.1728  0.3272  1 Ti 2.86, 6 Rh 3.00-3.12, 2 Er 3.15
Rh  0.5000  0.5502  0.6967  2 Ti 2.53, 2 Ga 2.64
Rh  0.5000  0.0502  0.8033  2 Ti 2.53, 2 Ga 2.64
Ti  0.0000  0.8665  0.3665  6 Rh 2.52-2.53

Properties
The calculation puts the formation enthalpy at 0 K at -0.65 eV/atom. The space group is P4/mbm, No. 127.


# Li6SmCu6

A geometry-optimized Li6SmCu6 structure (PBE, Alexandria).

a = 4.9978 Å, b = 6.7254 Å, c = 6.7254 Å
α = 81.57°, β = 68.19°, γ = 68.19°
With the nearest neighbours (Å) after each atom.
Fractional positions:
Li  0.0000  0.6538  0.3462  6 Cu 2.68-2.74, 3 Li 2.70-2.90
Cu  0.5000  0.0000  0.5000  4 Cu 2.50-2.56, 6 Li 2.55-2.70
Cu  0.0000  0.5000  0.0000  4 Cu 2.50-2.56, 6 Li 2.55-2.70
Cu  0.5000  0.5000  0.0000  4 Cu 2.50-2.56, 6 Li 2.55-2.70
Li  0.3585  0.6415  0.6415  1 Li 2.51, 6 Cu 2.70-2.77
Cu  0.5000  0.7816  0.2184  4 Cu 2.56, 6 Li 2.68-2.77
Li  0.7107  0.7893  0.7893  6 Cu 2.55-2.68, 2 Li 2.82
Cu  0.5000  0.2184  0.7816  4 Cu 2.56, 6 Li 2.68-2.77
Sm  0.0000  0.0000  0.0000  8 Li 3.04-3.18, 12 Cu 3.15-3.36
Li  0.0000  0.3462  0.6538  6 Cu 2.68-2.74, 3 Li 2.70-2.90
Cu  0.0000  0.0000  0.5000  4 Cu 2.50-2.56, 6 Li 2.55-2.70
Li  0.2893  0.2107  0.2107  6 Cu 2.55-2.68, 2 Li 2.82
Li  0.6415  0.3585  0.3585  1 Li 2.51, 6 Cu 2.70-2.77

Properties
The calculation puts the formation enthalpy at 0 K at -0.06 eV/atom. The space group is Immm, No. 71.


# ZnCuS2Cl

A geometry-optimized ZnCuS2Cl structure (PBE, Alexandria).

a = 4.5909 Å, b = 4.5909 Å, c = 4.6318 Å
α = 90.00°, β = 90.00°, γ = 90.00°
With the nearest neighbours (Å) after each atom.
Fractional positions:
Cu  0.0000  0.0000  0.0000  4 S 2.30, 2 Cl 2.32
Zn  0.5000  0.5000  0.5000  4 Cl 3.25, 8 S 3.26
Cl  0.0000  0.0000  0.5000  2 Cu 2.32
S  0.0000  0.5000  0.0000  2 Cu 2.30
S  0.5000  0.0000  0.0000  2 Cu 2.30

Properties
The value obtained for the energy above the most stable polymorph in this dataset is 0.000 eV per atom. The value obtained for the raw formation energy is 0.34 eV per atom. The space group is P4/mmm, No. 123.


Number 1: uncorrected energy -44.81 eV per cell. Number 2: uncorrected energy -80.67 eV per cell. Number 3: uncorrected energy -124.80 eV per cell. Number 4: uncorrected energy -55.60 eV per cell. Number 5: uncorrected energy -8.93 eV per cell. Number 6: uncorrected energy -42.08 eV per cell. Number 7: uncorrected energy -94.18 eV per cell. Number 8: uncorrected energy -13.47 eV per cell. Number 9: uncorrected energy -22.54 eV per cell. Number 10: uncorrected energy -142.49 eV per cell. Number 11: uncorrected energy -41.60 eV per cell. Number 12: uncorrected energy -13.76 eV per cell.